# PbWCl (PBE, relaxed)
data_PbWCl
_chemical_formula_sum 'Pb4 W4 Cl4'
_space_group_name_H-M_alt 'P 1'
_space_group_IT_number 1
_space_group_name_Hall 'P 1'
_cell_length_a 7.016
_cell_length_b 7.016
_cell_length_c 7.016
_cell_angle_alpha 90.00
_cell_angle_beta 90.00
_cell_angle_gamma 90.00
loop_
_atom_site_label
_atom_site_type_symbol
_atom_site_fract_x
_atom_site_fract_y
_atom_site_fract_z
_atom_site_occupancy
Pb1 Pb 0.000 0.000 0.000 1
Pb2 Pb 0.000 0.500 0.500 1
Pb3 Pb 0.500 0.000 0.500 1
Pb4 Pb 0.500 0.500 0.000 1
W1 W 0.250 0.250 0.750 1
W2 W 0.250 0.750 0.250 1
W3 W 0.750 0.250 0.250 1
W4 W 0.750 0.750 0.750 1
Cl1 Cl 0.250 0.250 0.250 1
Cl2 Cl 0.250 0.750 0.750 1
Cl3 Cl 0.750 0.250 0.750 1
Cl4 Cl 0.750 0.750 0.250 1
# Fermi-level density of states (states/eV/cell): 18.21
# E_form (uncorrected) (kJ per mole of atoms): 163
# Volume (Å³/atom): 28.8
# Total magnetic moment (Bohr magnetons per cell): 13.0
# SG: F-43m, No. 216
# Energy relative to the lowest polymorph listed for this composition (meV/atom): 1385